No. 1
A plane-wave DFT calculation with PBE was carried out for a relaxed AcGePt crystal.

a b c (Å): 4.8310 4.8310 4.8310
angles (deg): 60.00 60.00 60.00
With the nearest neighbours (Å) after each atom.
Sites, in units of the cell vectors:
Ac1 0.2500 0.2500 0.2500  4 Ge 2.96
Ge1 0.0000 0.0000 0.0000  4 Ac 2.96, 4 Pt 2.96
Pt1 0.7500 0.7500 0.7500  4 Ge 2.96

Summary:
**Electronic total energy**: -5.38 eV per atom
**Calculated density**: 10.30 g/cm3
**Excess energy over the best structure of this formula in the dataset**: 581.7 meV/atom

***

No. 2
A plane-wave DFT calculation with PBE was carried out for a relaxed NaNbS6 crystal.

a b c (Å): 8.5222 10.1734 10.1734
angles (deg): 132.39 94.37 94.37
With the nearest neighbours (Å) after each atom.
Sites, in units of the cell vectors:
S1 0.9631 0.2896 0.6284  2 S 2.14-2.15
S2 0.7319 0.7810 0.6605  2 Nb 2.47-2.51, 1 S 2.59
S3 0.9482 0.5514 0.8796  1 S 2.14
S4 0.9634 0.9041 0.2428  1 S 2.03
S5 0.6165 0.5373 0.6597  1 S 2.15
S6 0.0695 0.0392 0.9129  1 S 2.03
S7 0.2319 0.6605 0.7810  2 Nb 2.47-2.51, 1 S 2.59
S8 0.3835 0.4627 0.3403  1 S 2.15
S9 0.0369 0.7104 0.3716  2 S 2.14-2.15
S10 0.8835 0.3403 0.4627  1 S 2.15
S11 0.5518 0.1204 0.4486  1 S 2.14
S12 0.0366 0.0959 0.7572  1 S 2.03
S13 0.9305 0.9608 0.0871  1 S 2.03
S14 0.4631 0.6284 0.2896  2 S 2.14-2.15
S15 0.7681 0.3395 0.2190  2 Nb 2.47-2.51, 1 S 2.59
S16 0.5369 0.3716 0.7104  2 S 2.14-2.15
S17 0.4482 0.8796 0.5514  1 S 2.14
S18 0.5695 0.9129 0.0392  1 S 2.03
S19 0.2681 0.2190 0.3395  2 Nb 2.47-2.51, 1 S 2.59
S20 0.5366 0.7572 0.0959  1 S 2.03
S21 0.4634 0.2428 0.9041  1 S 2.03
S22 0.0518 0.4486 0.1204  1 S 2.14
S23 0.1165 0.6597 0.5373  1 S 2.15
S24 0.4305 0.0871 0.9608  1 S 2.03
Nb1 0.5519 0.2363 0.2951  7 S 2.47-2.75
Nb2 0.0519 0.2951 0.2363  7 S 2.47-2.75
Nb3 0.9481 0.7049 0.7637  7 S 2.47-2.75
Nb4 0.4481 0.7637 0.7049  7 S 2.47-2.75
Na1 0.2410 0.0519 0.4972  6 S 2.80-3.08
Na2 0.7590 0.9481 0.5028  6 S 2.80-3.08
Na3 0.2590 0.5028 0.9481  6 S 2.80-3.08
Na4 0.7410 0.4972 0.0519  6 S 2.80-3.08

Summary:
**Electronic total energy**: -4.94 eV per atom
**Calculated density**: 3.20 g/cm3